Entry from Alexandria via LeMat-Bulk: an optimized crystal structure of CaAsP3 (GGA-PBE).

a = 4.800 Å, b = 4.800 Å, c = 4.800 Å
α = 90.00°, β = 90.00°, γ = 90.00°
Fractional coordinates of all 5 atoms:
P 0.000 0.500 0.000
P 0.000 0.000 0.500
P 0.500 0.000 0.000
As 0.000 0.000 0.000
Ca 0.500 0.500 0.500

Results
ΔE to the lowest computed polymorph: 0.000 eV per atom
ΔE_f: 287 meV per atom
Calculated total energy: -0.1576 Ha/atom

***

Entry from Alexandria via LeMat-Bulk: an optimized crystal structure of BeTl2Au (GGA-PBE).

a = 3.540 Å, b = 4.098 Å, c = 6.451 Å
α = 68.14°, β = 90.00°, γ = 90.00°
Fractional coordinates of all 4 atoms:
Be 0.500 0.750 0.750
Tl 0.000 0.947 0.987
Tl 0.000 0.553 0.513
Au 0.500 0.250 0.250

Results
ΔE to the lowest computed polymorph: 0.348 eV per atom
ΔE_f: 441 meV per atom
Calculated total energy: -0.0916 Ha/atom

***

Entry from Alexandria via LeMat-Bulk: an optimized crystal structure of GaI2 (GGA-PBE).

a = 4.138 Å, b = 4.138 Å, c = 7.549 Å
α = 90.00°, β = 90.00°, γ = 120.00°
Fractional coordinates of all 3 atoms:
Ga 0.000 0.000 0.000
I 0.333 0.667 0.237
I 0.667 0.333 0.763

Results
ΔE to the lowest computed polymorph: 0.155 eV per atom
Calculated total energy: -0.0862 Ha/atom